(1)
NaCa4Cd3 | PBE | optimized geometry

Cell and atoms, written as CIF:
```
data_NaCa4Cd3
_chemical_formula_sum 'Na1 Ca4 Cd3'
_space_group_name_H-M_alt 'P 1'
_space_group_IT_number 1
_space_group_name_Hall 'P 1'
_cell_length_a 9.616
_cell_length_b 9.616
_cell_length_c 9.616
_cell_angle_alpha 33.39
_cell_angle_beta 33.39
_cell_angle_gamma 33.39
loop_
_atom_site_label
_atom_site_fract_x
_atom_site_fract_y
_atom_site_fract_z
_atom_site_occupancy
Na1 0.000 0.000 0.000 1
Ca1 0.130 0.130 0.130 1
Ca2 0.381 0.381 0.381 1
Ca3 0.619 0.619 0.619 1
Ca4 0.870 0.870 0.870 1
Cd1 0.253 0.253 0.253 1
Cd2 0.500 0.500 0.500 1
Cd3 0.747 0.747 0.747 1
```

For the calculated formation energy, the calculation gives -0.25 eV/atom.

(2)
HfZr2In2 | PBE | optimized geometry

Cell and atoms, written as CIF:
```
data_HfZr2In2
_chemical_formula_sum 'Hf1 Zr2 In2'
_space_group_name_H-M_alt 'P 1'
_space_group_IT_number 1
_space_group_name_Hall 'P 1'
_cell_length_a 5.004
_cell_length_b 5.004
_cell_length_c 5.916
_cell_angle_alpha 114.94
_cell_angle_beta 114.94
_cell_angle_gamma 60.06
loop_
_atom_site_label
_atom_site_fract_x
_atom_site_fract_y
_atom_site_fract_z
_atom_site_occupancy
Hf1 0.000 0.000 0.000 1
Zr1 0.203 0.203 0.610 1
Zr2 0.797 0.797 0.390 1
In1 0.406 0.406 0.217 1
In2 0.594 0.594 0.783 1
```

For the calculated formation energy, the calculation gives -0.15 eV/atom. The energy above the most stable polymorph in this dataset comes out at 0.000 eV/f.u.

(3)
Pu3Ge5Pt6 | PBE | optimized geometry

Cell and atoms, written as CIF:
```
data_Pu3Ge5Pt6
_chemical_formula_sum 'Pu6 Ge10 Pt12'
_space_group_name_H-M_alt 'P 1'
_space_group_IT_number 1
_space_group_name_Hall 'P 1'
_cell_length_a 4.061
_cell_length_b 12.320
_cell_length_c 10.710
_cell_angle_alpha 90.00
_cell_angle_beta 90.00
_cell_angle_gamma 90.00
loop_
_atom_site_label
_atom_site_fract_x
_atom_site_fract_y
_atom_site_fract_z
_atom_site_occupancy
Pu1 0.250 0.088 0.244 1
Pu2 0.250 0.412 0.244 1
Pu3 0.250 0.750 0.236 1
Pu4 0.750 0.250 0.764 1
Pu5 0.750 0.588 0.756 1
Pu6 0.750 0.912 0.756 1
Ge1 0.250 0.082 0.643 1
Ge2 0.250 0.418 0.643 1
Ge3 0.250 0.621 0.981 1
Ge4 0.250 0.750 0.649 1
Ge5 0.250 0.879 0.981 1
Ge6 0.750 0.121 0.019 1
Ge7 0.750 0.250 0.351 1
Ge8 0.750 0.379 0.019 1
Ge9 0.750 0.582 0.357 1
Ge10 0.750 0.918 0.357 1
Pt1 0.250 0.062 0.870 1
Pt2 0.250 0.250 0.017 1
Pt3 0.250 0.250 0.502 1
Pt4 0.250 0.438 0.870 1
Pt5 0.250 0.584 0.499 1
Pt6 0.250 0.916 0.499 1
Pt7 0.750 0.084 0.501 1
Pt8 0.750 0.416 0.501 1
Pt9 0.750 0.562 0.130 1
Pt10 0.750 0.750 0.498 1
Pt11 0.750 0.750 0.983 1
Pt12 0.750 0.938 0.130 1
```

For the calculated formation energy, the calculation gives -0.69 eV/atom.

(4)
BiH2F6 | PBE | optimized geometry

Cell and atoms, written as CIF:
```
data_BiH2F6
_chemical_formula_sum 'Bi2 H4 F12'
_space_group_name_H-M_alt 'P 1'
_space_group_IT_number 1
_space_group_name_Hall 'P 1'
_cell_length_a 4.374
_cell_length_b 6.832
_cell_length_c 9.668
_cell_angle_alpha 84.91
_cell_angle_beta 89.40
_cell_angle_gamma 72.83
loop_
_atom_site_label
_atom_site_fract_x
_atom_site_fract_y
_atom_site_fract_z
_atom_site_occupancy
Bi1 0.105 0.270 0.132 1
Bi2 0.895 0.730 0.868 1
H1 0.023 0.811 0.381 1
H2 0.464 0.223 0.610 1
H3 0.536 0.777 0.390 1
H4 0.977 0.189 0.619 1
F1 0.061 0.381 0.902 1
F2 0.108 0.267 0.344 1
F3 0.208 0.120 0.639 1
F4 0.259 0.958 0.109 1
F5 0.367 0.708 0.403 1
F6 0.409 0.698 0.877 1
F7 0.591 0.302 0.123 1
F8 0.633 0.292 0.597 1
F9 0.741 0.042 0.891 1
F10 0.792 0.880 0.361 1
F11 0.892 0.733 0.656 1
F12 0.939 0.619 0.098 1
```

The total energy comes out at -4.22 eV/atom.

(5)
NdY3Tl3 | PBE | optimized geometry

Cell and atoms, written as CIF:
```
data_NdY3Tl3
_chemical_formula_sum 'Nd2 Y6 Tl6'
_space_group_name_H-M_alt 'P 1'
_space_group_IT_number 1
_space_group_name_Hall 'P 1'
_cell_length_a 9.521
_cell_length_b 9.521
_cell_length_c 5.252
_cell_angle_alpha 90.00
_cell_angle_beta 90.00
_cell_angle_gamma 120.00
loop_
_atom_site_label
_atom_site_fract_x
_atom_site_fract_y
_atom_site_fract_z
_atom_site_occupancy
Nd1 0.333 0.667 0.250 1
Nd2 0.667 0.333 0.750 1
Y1 0.001 0.767 0.750 1
Y2 0.233 0.235 0.750 1
Y3 0.235 0.001 0.250 1
Y4 0.765 0.999 0.750 1
Y5 0.767 0.765 0.250 1
Y6 0.999 0.233 0.250 1
Tl1 0.070 0.448 0.750 1
Tl2 0.378 0.930 0.750 1
Tl3 0.448 0.378 0.250 1
Tl4 0.552 0.622 0.750 1
Tl5 0.622 0.070 0.250 1
Tl6 0.930 0.552 0.250 1
```

For the calculated formation energy, the calculation gives -0.27 eV/atom. The energy above the most stable polymorph in this dataset comes out at 0.122 eV/f.u.

(6)
SrCuSi2Ni | PBE | optimized geometry

Cell and atoms, written as CIF:
```
data_SrCuSi2Ni
_chemical_formula_sum 'Sr1 Cu1 Si2 Ni1'
_space_group_name_H-M_alt 'P 1'
_space_group_IT_number 1
_space_group_name_Hall 'P 1'
_cell_length_a 5.739
_cell_length_b 5.739
_cell_length_c 5.739
_cell_angle_alpha 137.48
_cell_angle_beta 137.48
_cell_angle_gamma 61.69
loop_
_atom_site_label
_atom_site_fract_x
_atom_site_fract_y
_atom_site_fract_z
_atom_site_occupancy
Sr1 0.000 0.000 0.000 1
Cu1 0.250 0.750 0.500 1
Si1 0.370 0.370 0.000 1
Si2 0.630 0.630 0.000 1
Ni1 0.750 0.250 0.500 1
```

As for the uncorrected formation energy: -0.4355 eV per atom.

(7)
Ti3ZnGe | PBE | optimized geometry

Cell and atoms, written as CIF:
```
data_Ti3ZnGe
_chemical_formula_sum 'Ti3 Zn1 Ge1'
_space_group_name_H-M_alt 'P 1'
_space_group_IT_number 1
_space_group_name_Hall 'P 1'
_cell_length_a 4.697
_cell_length_b 4.697
_cell_length_c 4.697
_cell_angle_alpha 90.00
_cell_angle_beta 90.00
_cell_angle_gamma 90.00
loop_
_atom_site_label
_atom_site_fract_x
_atom_site_fract_y
_atom_site_fract_z
_atom_site_occupancy
Ti1 0.000 0.000 0.500 1
Ti2 0.000 0.500 0.000 1
Ti3 0.500 0.000 0.000 1
Zn1 0.500 0.500 0.500 1
Ge1 0.000 0.000 0.000 1
```

For the calculated formation energy, the calculation gives 0.41 eV/atom. The energy above the most stable polymorph in this dataset comes out at 2.369 eV/f.u.

(8)
Rh3SeCl | PBE | optimized geometry

Cell and atoms, written as CIF:
```
data_Rh3SeCl
_chemical_formula_sum 'Rh3 Se1 Cl1'
_space_group_name_H-M_alt 'P 1'
_space_group_IT_number 1
_space_group_name_Hall 'P 1'
_cell_length_a 4.458
_cell_length_b 4.458
_cell_length_c 4.458
_cell_angle_alpha 90.00
_cell_angle_beta 90.00
_cell_angle_gamma 90.00
loop_
_atom_site_label
_atom_site_fract_x
_atom_site_fract_y
_atom_site_fract_z
_atom_site_occupancy
Rh1 0.000 0.000 0.500 1
Rh2 0.000 0.500 0.000 1
Rh3 0.500 0.000 0.000 1
Se1 0.500 0.500 0.500 1
Cl1 0.000 0.000 0.000 1
```

As for the uncorrected formation energy: 0.8413 eV per atom. The energy above the most stable polymorph in this dataset comes out at 0.700 eV/f.u.

no.,theoretical density (Mg/m³)
1,3.60
2,8.75
3,14.04
4,3.93
5,8.25
6,5.18
7,4.51
8,7.93